1.
Crystalline PaZn8Co4 at its relaxed geometry, computed with PBE.

The structure in extended XYZ format:
```
13
Lattice="-0.8526 -4.4774 1.8965 2.1749 -4.8148 -3.9643 5.0189 -2.0879 3.7523" Properties=species:S:1:pos:R:3 pbc="T T T"
Pa 0.0000 0.0000 0.0000
Zn 4.0351 -3.0311 1.0830
Zn 1.9307 -5.3163 1.1671
Co 1.0874 -2.4074 -1.9822
Zn 3.1586 -3.8715 -1.2951
Zn 2.3851 -6.4432 -1.2890
Co 0.6611 -4.6461 -1.0339
Zn 4.4105 -6.0637 0.5173
Zn 3.9561 -4.9369 2.9735
Co 2.0832 -3.2826 2.8244
Zn 4.9666 -8.5986 1.2081
Zn 1.3746 -2.7815 0.4763
Co 2.5095 -1.0439 1.8762
```

Properties
crystal system = tetragonal
raw total energy = -49.146 eV per formula unit
calculated formation energy = -80 meV per atom

---

2.
Crystalline KRbLi at its relaxed geometry, computed with PBE.

The structure in extended XYZ format:
```
12
Lattice="-0.2644 -5.3577 -0.5064 8.7906 -0.6567 2.3585 -3.9967 -1.1796 14.5680" Properties=species:S:1:pos:R:3 pbc="T T T"
Rb -1.4120 -4.9657 10.2778
K 1.0616 -2.0876 7.2012
Rb 2.7337 -2.7278 13.1018
Li 6.1675 -2.6142 10.1069
Li 0.0202 -5.4428 14.5784
Rb 5.9416 -2.2284 6.1423
Rb 1.7958 -4.4662 3.3183
K 6.9168 -4.6250 2.3242
K 3.4679 -5.1064 9.2190
Li -1.6379 -4.5798 6.3133
K -2.3873 -2.5691 14.0960
Li 4.5093 -1.7513 1.8418
```

Properties
energy above the most stable polymorph in this dataset = 0.00 kcal/mol of atoms
crystal system = orthorhombic
raw total energy = -3.633 eV per formula unit
calculated formation energy = 115 meV per atom

---

3.
Crystalline HgAsPd2O at its relaxed geometry, computed with PBE.

The structure in extended XYZ format:
```
5
Lattice="-2.6941 2.9191 1.1214 -3.2555 -3.6480 1.6747 1.7374 0.1666 3.7404" Properties=species:S:1:pos:R:3 pbc="T T T"
Hg -1.6278 -1.8240 0.8374
As -2.1061 -0.2812 3.2683
Pd 0.8687 0.0833 1.8702
Pd -1.3471 1.4595 0.5607
O 0.0000 0.0000 0.0000
```

Properties
crystal system = tetragonal
raw total energy = -19.403 eV per formula unit
uncorrected formation energy = 0.178 eV/atom

---

4.
Crystalline Tb3TcI at its relaxed geometry, computed with PBE.

The structure in extended XYZ format:
```
10
Lattice="-3.6847 0.6408 -0.5868 0.1407 -5.4983 5.3247 0.4597 8.3142 6.1920" Properties=species:S:1:pos:R:3 pbc="T T T"
Tb 0.0621 2.6682 2.5234
Tb -1.1474 -2.4355 4.5450
I -0.4156 -0.5471 2.0120
Tb -3.1465 0.7885 8.4065
Tb -1.9370 5.8922 6.3849
I -2.6688 4.0039 8.9179
Tb -2.5187 0.7633 4.4372
Tc -1.1388 -0.4882 6.6178
Tb -0.5656 2.6934 6.4927
Tc -1.9455 3.9449 4.3121
```

Properties
crystal system = monoclinic
raw total energy = -27.356 eV per formula unit
uncorrected formation energy = -0.310 eV/atom

---

> What is the raw total energy in the first record?

-49.146 eV per formula unit